Record 1
First-principles (PBE-GGA) data for a relaxed PmScTcAu crystal, as listed in Alexandria.

Computed properties:
- Fermi-level density of states (states/eV/atom) = 0.437
- DFT total energy (eV per cell) = -103.670

Unit cell a=6.9163 b=6.9163 c=6.9163 alpha=90.00 beta=90.00 gamma=90.00
Space group F-43m (No. 216)
Inequivalent atoms, fractional coordinates:
Pm (0.0000, 0.0000, 0.0000) [4 per cell]
Sc (0.0000, 0.0000, 0.5000) [4 per cell]
Tc (0.2500, 0.2500, 0.2500) [4 per cell]
Au (0.2500, 0.2500, 0.7500) [4 per cell]

=====

Record 2
First-principles (PBE-GGA) data for a relaxed PmScTlAu crystal, as listed in Alexandria.

Computed properties:
- Fermi-level density of states (states/eV/atom) = 1.029
- DFT total energy (eV per cell) = -74.848

Unit cell a=7.3265 b=7.3265 c=7.3265 alpha=90.00 beta=90.00 gamma=90.00
Space group F-43m (No. 216)
Inequivalent atoms, fractional coordinates:
Pm (0.0000, 0.0000, 0.0000) [4 per cell]
Sc (0.0000, 0.0000, 0.5000) [4 per cell]
Tl (0.2500, 0.2500, 0.7500) [4 per cell]
Au (0.2500, 0.2500, 0.2500) [4 per cell]

=====

Record 3
First-principles (PBE-GGA) data for a relaxed Pm2ScZnAu6 crystal, as listed in Alexandria.

Computed properties:
- Fermi-level density of states (states/eV/atom) = 0.840
- DFT total energy (eV per cell) = -155.451

Unit cell a=9.9897 b=9.9897 c=9.9897 alpha=90.00 beta=90.00 gamma=90.00
Space group Fm-3m (No. 225)
Inequivalent atoms, fractional coordinates:
Pm (0.2500, 0.2500, 0.2500) [8 per cell]
Sc (0.0000, 0.0000, 0.0000) [4 per cell]
Zn (0.0000, 0.0000, 0.5000) [4 per cell]
Au (0.0000, 0.0000, 0.2565) [24 per cell]

=====

Record 4
First-principles (PBE-GGA) data for a relaxed PmSc2ZnAu4 crystal, as listed in Alexandria.

Computed properties:
- Fermi-level density of states (states/eV/atom) = 0.573
- DFT total energy (eV per cell) = -111.575

Unit cell a=4.7212 b=4.7212 c=25.7082 alpha=90.00 beta=90.00 gamma=120.00
Space group R-3m (No. 166, hexagonal axes)
Inequivalent atoms, fractional coordinates:
Pm (0.0000, 0.0000, 0.0000) [3 per cell]
Sc (0.0000, 0.0000, 0.2369) [6 per cell]
Zn (0.0000, 0.0000, 0.5000) [3 per cell]
Au (0.0000, 0.0000, 0.1238) [6 per cell]
Au (0.0000, 0.0000, 0.3939) [6 per cell]

=====

Record 5
First-principles (PBE-GGA) data for a relaxed PmScZn2Au4 crystal, as listed in Alexandria.

Computed properties:
- Fermi-level density of states (states/eV/atom) = 0.533
- DFT total energy (eV per cell) = -94.638

Unit cell a=4.6700 b=4.6700 c=24.9033 alpha=90.00 beta=90.00 gamma=120.00
Space group R-3m (No. 166, hexagonal axes)
Inequivalent atoms, fractional coordinates:
Pm (0.0000, 0.0000, 0.0000) [3 per cell]
Sc (0.0000, 0.0000, 0.5000) [3 per cell]
Zn (0.0000, 0.0000, 0.2446) [6 per cell]
Au (0.0000, 0.0000, 0.1274) [6 per cell]
Au (0.0000, 0.0000, 0.3894) [6 per cell]

=====

Record 6
First-principles (PBE-GGA) data for a relaxed PmAuSe2 crystal, as listed in Alexandria.

Computed properties:
- relative energy among the computed polymorphs (eV per atom) = 0.000
- DFT total energy (eV per cell) = -78.850

Unit cell a=6.3830 b=7.4137 c=8.1911 alpha=90.00 beta=90.00 gamma=90.00
Space group Pbcm (No. 57)
Inequivalent atoms, fractional coordinates:
Pm (0.1713, 0.0363, 0.2500) [4 per cell]
Au (0.4974, 0.7500, 0.0000) [4 per cell]
Se (0.0722, 0.7500, 0.0000) [4 per cell]
Se (0.3714, 0.0845, 0.7500) [4 per cell]

=====

Question: Number 1 is which compound?
Answer: PmScTcAu

=====

Question: Among the records above, which one has the highest DFT total energy?
Answer: PmScTlAu